(1)
Entry from Alexandria via LeMat-Bulk: an optimized crystal structure of RbTl6Sn2 (PBE-GGA).

Calculated values
energy relative to the lowest polymorph listed for this composition	0.226	eV per atom

Cell lengths 14.4119, 14.4119, 14.4119 Å; angles 90.00, 90.00, 90.00 degrees
Closest atoms and distances in Å follow each position.
Space group Fd-3m (No. 227, origin choice 2)
Symmetry-distinct sites (fractional):
Rb  0.1250  0.1250  0.1250 [8 per cell]  6 Tl 3.71
Tl  0.1174  0.3750  0.8750 [48 per cell]  2 Sn 3.06
Sn  0.0000  0.0000  0.5000 [16 per cell]  6 Tl 3.06

---

(2)
Entry from Alexandria via LeMat-Bulk: an optimized crystal structure of RbTlSn (PBE-GGA).

Cell lengths 4.8630, 5.2816, 9.0454 Å; angles 90.00, 90.00, 90.00 degrees
Closest atoms and distances in Å follow each position.
Space group Pmm2 (No. 25)
Symmetry-distinct sites (fractional):
Rb  0.0000  0.0000  0.0000 [1 per cell]  6 Tl 3.73-4.08, 3 Sn 3.89-4.14
Rb  0.5000  0.5000  0.3262 [1 per cell]  6 Sn 3.78-4.04, 3 Tl 3.85-3.97
Tl  0.0000  0.5000  0.6568 [1 per cell]  2 Sn 3.19, 2 Tl 3.20
Tl  0.5000  0.5000  0.8873 [1 per cell]  2 Tl 3.20, 2 Sn 3.32
Sn  0.0000  0.0000  0.4581 [1 per cell]  2 Sn 3.06, 2 Tl 3.19
Sn  0.5000  0.0000  0.6642 [1 per cell]  2 Sn 3.06, 2 Tl 3.32

---

(3)
Entry from Alexandria via LeMat-Bulk: an optimized crystal structure of Rb2Tl3Sn5 (PBE-GGA).

Cell lengths 5.2001, 5.2001, 13.2491 Å; angles 90.00, 90.00, 90.00 degrees
Closest atoms and distances in Å follow each position.
Space group P-4m2 (No. 115)
Symmetry-distinct sites (fractional):
Rb  0.0000  0.5000  0.2463 [2 per cell]  6 Tl 3.99-4.25, 10 Sn 4.03-4.25
Tl  0.0000  0.5000  0.6366 [2 per cell]  2 Tl 3.17, 3 Sn 3.17-3.20
Tl  0.5000  0.5000  0.5000 [1 per cell]  4 Tl 3.17
Sn  0.0000  0.0000  0.0000 [1 per cell]  4 Sn 3.06
Sn  0.0000  0.0000  0.5000 [1 per cell]  4 Tl 3.17
Sn  0.0000  0.5000  0.8784 [2 per cell]  4 Sn 3.06, 1 Tl 3.20
Sn  0.5000  0.5000  0.0000 [1 per cell]  4 Sn 3.06

---

(4)
Entry from Alexandria via LeMat-Bulk: an optimized crystal structure of RbTl2Sn10 (PBE-GGA).

Cell lengths 6.4770, 15.7424, 16.5950 Å; angles 90.00, 90.00, 90.00 degrees
Closest atoms and distances in Å follow each position.
Space group Fmmm (No. 69)
Symmetry-distinct sites (fractional):
Rb  0.0000  0.0000  0.0000 [4 per cell]  16 Sn 4.11-4.45, 4 Tl 4.26
Tl  0.2500  0.2500  0.0000 [8 per cell]  2 Tl 3.24, 4 Sn 3.38
Sn  0.0000  0.1238  0.3675 [16 per cell]  6 Sn 3.16-3.44, 2 Tl 3.38
Sn  0.0000  0.1749  0.1835 [16 per cell]  7 Sn 3.16-3.44
Sn  0.2500  0.0000  0.2500 [8 per cell]  10 Sn 3.20-3.38

---

no.,E_tot (eV for the cell shown)
1,-171.4
2,-15.7
3,-30.0
4,-182.1